LaHo2Hg2 (PBE-GGA, optimized geometry); total magnetic moment = 0.0 Bohr magnetons per cell; volume = 28.253 Å³/atom; space group = P2_1/m, No. 11; energy above the lowest structure with this stoichiometry = 0 meV/atom; energy relative to the elements = -376 meV/atom
1.0
3.7516 0.0000 0.0000
0.0000 5.4450 0.0000
-1.8731 0.0000 13.8310
La Ho Hg
2 4 4
Direct
0.1474 0.2500 0.2916 La
0.8526 0.7500 0.7084 La
0.0489 0.7500 0.0965 Ho
0.2361 0.7500 0.4726 Ho
0.7639 0.2500 0.5274 Ho
0.9511 0.2500 0.9035 Ho
0.3550 0.2500 0.7114 Hg
0.4571 0.7500 0.9130 Hg
0.5429 0.2500 0.0870 Hg
0.6450 0.7500 0.2886 Hg